Record 1
Computed, not measured: an optimized crystal structure of K2CrIrO6 at the PBE+U level of DFT.

abc: 5.7495 5.7495 28.2601
angles: 90.00 90.00 120.00
Space group R-3m (No. 166, hexagonal axes)
Inequivalent atoms, fractional coordinates:
1 K 0.0000 0.0000 0.1297 x6
2 K 0.0000 0.0000 0.2834 x6
3 Cr 0.0000 0.0000 0.4071 x6
4 Ir 0.0000 0.0000 0.0000 x3
5 Ir 0.0000 0.0000 0.5000 x3
6 O 0.0152 0.5076 0.7050 x18
7 O 0.0366 0.5183 0.1221 x18

* magnetic moment: 0.10 μB/atom
* total energy: -6.075 eV per atom

=====

Record 2
Computed, not measured: an optimized crystal structure of K2CrIr3O12 at the PBE+U level of DFT.

abc: 7.2068 7.2068 17.4972
angles: 90.00 90.00 120.00
Space group R-3m (No. 166, hexagonal axes)
Inequivalent atoms, fractional coordinates:
1 K 0.0000 0.0000 0.1242 x6
2 Cr 0.0000 0.0000 0.5000 x3
3 Ir 0.0000 0.5000 0.0000 x9
4 O 0.0690 0.5345 0.3576 x18
5 O 0.0771 0.5385 0.1042 x18

* magnetic moment: 0.06 μB/atom
* total energy: -6.301 eV per atom

=====

Record 3
Computed, not measured: an optimized crystal structure of KCrIrO6 at the PBE+U level of DFT.

abc: 5.291 8.831 6.004
angles: 90.00 91.42 90.00
Space group C2 (No. 5)
Inequivalent atoms, fractional coordinates:
1 K 0.000 0.000 0.000 x2
2 Cr 0.000 0.678 0.500 x2
3 Ir 0.000 0.331 0.500 x2
4 O 0.118 0.503 0.671 x4
5 O 0.194 0.805 0.681 x4
6 O 0.195 0.203 0.684 x4

* magnetic moment: 0.00 μB/atom
* total energy: -6.335 eV per atom

=====

Q: Which of these has the lowest magnetic moment?
A: KCrIrO6

=====

Repeat the third record exactly.
Computed, not measured: an optimized crystal structure of KCrIrO6 at the PBE+U level of DFT.

abc: 5.291 8.831 6.004
angles: 90.00 91.42 90.00
Space group C2 (No. 5)
Inequivalent atoms, fractional coordinates:
1 K 0.000 0.000 0.000 x2
2 Cr 0.000 0.678 0.500 x2
3 Ir 0.000 0.331 0.500 x2
4 O 0.118 0.503 0.671 x4
5 O 0.194 0.805 0.681 x4
6 O 0.195 0.203 0.684 x4

* magnetic moment: 0.00 μB/atom
* total energy: -6.335 eV per atom

=====

Q: magnetic moment of number 3 (KCrIrO6)?
A: 0.00 μB/atom